Entry from Alexandria: K2Au7 after structural relaxation (PBE).

Summary:
energy relative to the elements = -247 meV per atom
space group = R-3m
calculated volume = 404.70 Å³ per cell
Fermi-level density of states = 0.159 states/eV/atom

a b c (Å): 5.7646 5.7646 14.4509
angles (deg): 78.49 78.49 60.00
Closest atoms and distances in Å follow each position.
Fractional positions:
K1 0.9468 0.9468 0.1596  12 Au 3.33-3.65
K2 0.0532 0.0532 0.8404  12 Au 3.33-3.65
K3 0.8495 0.8495 0.4515  12 Au 3.36-3.50, 3 K 3.60
K4 0.1505 0.1505 0.5485  12 Au 3.36-3.50, 3 K 3.60
Au1 0.5000 0.5000 0.5000  6 Au 2.93
Au2 0.7216 0.7216 0.8352  6 Au 2.85
Au3 0.2784 0.2784 0.1648  6 Au 2.85
Au4 0.6121 0.6121 0.1636  6 Au 2.84-2.86
Au5 0.3879 0.3879 0.8364  6 Au 2.84-2.86
Au6 0.0000 0.5000 0.0000  8 Au 2.84-2.88
Au7 0.5000 0.0000 0.0000  8 Au 2.84-2.88
Au8 0.5000 0.5000 0.0000  8 Au 2.84-2.88
Au9 0.3898 0.3898 0.3292  7 Au 2.85-2.93
Au10 0.8913 0.3898 0.3292  7 Au 2.85-2.93
Au11 0.3898 0.8913 0.3292  7 Au 2.85-2.93
Au12 0.6102 0.6102 0.6708  7 Au 2.85-2.93
Au13 0.1087 0.6102 0.6708  7 Au 2.85-2.93
Au14 0.6102 0.1087 0.6708  7 Au 2.85-2.93


Entry from Alexandria: CeHo5Zn4 after structural relaxation (PBE).

Summary:
energy relative to the elements = -255 meV per atom
space group = P4/mmm
calculated volume = 239.75 Å³ per cell
Fermi-level density of states = 1.417 states/eV/atom

a b c (Å): 3.5390 3.5390 19.1423
angles (deg): 90.00 90.00 90.00
Closest atoms and distances in Å follow each position.
Fractional positions:
Ce1 0.0000 0.0000 0.0000  8 Ho 3.52, 4 Ce 3.54
Ho1 0.5000 0.5000 0.1291  4 Zn 3.06
Ho2 0.5000 0.5000 0.3146  8 Zn 3.06-3.08
Ho3 0.5000 0.5000 0.5000  8 Zn 3.08
Ho4 0.5000 0.5000 0.6854  8 Zn 3.06-3.08
Ho5 0.5000 0.5000 0.8709  4 Zn 3.06
Zn1 0.0000 0.0000 0.2209  8 Ho 3.06-3.08
Zn2 0.0000 0.0000 0.4064  8 Ho 3.06-3.08
Zn3 0.0000 0.0000 0.5936  8 Ho 3.06-3.08
Zn4 0.0000 0.0000 0.7791  8 Ho 3.06-3.08


Entry from Alexandria: MgAlMo after structural relaxation (PBE).

Summary:
energy relative to the elements = 132 meV per atom
space group = P3m1
calculated volume = 49.30 Å³ per cell
polymorph energy (0 for the lowest one) = 0.041 eV per atom
Fermi-level density of states = 0.660 states/eV/atom

a b c (Å): 4.5239 4.5239 2.7813
angles (deg): 90.00 90.00 120.00
Closest atoms and distances in Å follow each position.
Fractional positions:
Al1 0.0000 0.0000 0.0409  3 Mg 2.69, 2 Al 2.78, 3 Mo 2.79
Mg1 0.6667 0.3333 0.2753  3 Al 2.69, 2 Mg 2.78, 3 Mo 2.85
Mo1 0.3333 0.6667 0.6838  2 Mo 2.78, 3 Al 2.79, 6 Mg 2.85-3.09


Entry from Alexandria: LiInAs after structural relaxation (PBE).

Summary:
energy relative to the elements = -190 meV per atom
space group = I4mm
calculated volume = 62.51 Å³ per cell
polymorph energy (0 for the lowest one) = 0.024 eV per atom
Fermi-level density of states = 0.466 states/eV/atom

a b c (Å): 5.1535 5.1535 5.1535
angles (deg): 137.17 137.16 62.18
Closest atoms and distances in Å follow each position.
Fractional positions:
As1 0.0035 0.0035 0.0000  5 Li 2.98-3.02, 5 In 2.98-3.07
In1 0.6557 0.6557 0.0000  1 Li 2.78, 5 As 2.98-3.07
Li1 0.3408 0.3408 0.0000  1 In 2.78, 5 As 2.98-3.02


> What is the energy relative to the elements in the fourth record?

-190 meV per atom


> Which formula does entry 4 have?

LiInAs